Computed, not measured: a relaxed structure of Ta2CuRe at the GGA-PBE level of DFT.

```
Ta2CuRe
1.0
-0.0146 -3.2455 3.2519
2.5868 -0.7541 -0.7411
2.4945 3.1158 3.1208
Cu Ta Re
1 2 1
Direct
0.0000 0.6226 0.4739
0.5000 0.2311 0.2806
0.0000 0.9852 0.9656
0.5000 0.6611 0.7800
```

Summary:
SG: Pm (6)
Distance to the lowest polymorph of the same formula, eV per atom: 0.1370
Raw total energy, eV/atom: -10.021
Energy relative to the elements, eV/atom: 0.04
Magnetic moment, Bohr magnetons per cell: 0.0